one:
A plane-wave DFT calculation with PBE was carried out for a geometry-optimized BaCa2Co structure.

Values from the calculation:
- DOS at the Fermi energy (states/eV per atom) = 1.449

Cell and atoms, written as extended XYZ:
```
4
Lattice="-1.437 -8.879 5.401 1.694 -9.922 2.961 2.406 -7.905 6.465" Properties=species:S:1:pos:R:3 pbc="T T T"
Ca 2.579 -25.860 14.358
Ca 1.416 -14.198 7.883
Co 0.666 -6.676 3.707
Ba 1.997 -20.029 11.120
```

=====

two:
A plane-wave DFT calculation with PBE was carried out for a geometry-optimized BaCa2Co structure.

Values from the calculation:
- DOS at the Fermi energy (states/eV per atom) = 0.885

Cell and atoms, written as extended XYZ:
```
8
Lattice="7.923 0.000 0.000 0.000 7.923 0.000 3.962 3.962 5.623" Properties=species:S:1:pos:R:3 pbc="T T T"
Ca 3.954 1.981 1.406
Ca 3.969 5.943 1.406
Ca 5.943 7.931 4.217
Ca 9.904 7.916 4.217
Co 3.962 3.962 0.000
Co 3.962 7.923 2.811
Ba 0.000 0.000 0.000
Ba 7.923 3.962 2.811
```

=====

three:
A plane-wave DFT calculation with PBE was carried out for a geometry-optimized BaCa2Co structure.

Values from the calculation:
- DOS at the Fermi energy (states/eV per atom) = 0.923

Cell and atoms, written as extended XYZ:
```
4
Lattice="6.751 0.025 0.150 5.605 3.762 0.150 3.678 1.128 5.703" Properties=species:S:1:pos:R:3 pbc="T T T"
Ca 3.536 1.084 5.289
Ca 12.574 3.855 3.845
Co 8.370 2.566 4.004
Ba 3.249 0.996 1.569
```

=====

four:
A plane-wave DFT calculation with PBE was carried out for a geometry-optimized BaCa2Co structure.

Values from the calculation:
- DOS at the Fermi energy (states/eV per atom) = 1.415

Cell and atoms, written as extended XYZ:
```
4
Lattice="-1.096 -2.139 6.633 2.456 -1.012 6.536 -1.276 4.362 3.893" Properties=species:S:1:pos:R:3 pbc="T T T"
Ca -1.084 3.816 4.568
Ca -0.149 1.151 7.856
Co 0.063 0.908 12.796
Ba 0.021 0.303 4.265
```

=====

Quick one: least stable of them? two

=====

one:
A plane-wave DFT calculation with PBE was carried out for a geometry-optimized BaCa2Co structure.

Values from the calculation:
- DOS at the Fermi energy (states/eV per atom) = 1.236

Cell and atoms, written as extended XYZ:
```
4
Lattice="10.787 0.091 0.054 9.996 4.053 0.054 9.996 1.993 3.530" Properties=species:S:1:pos:R:3 pbc="T T T"
Ca 30.611 6.103 3.617
Ca 6.878 1.371 0.813
Co 15.524 3.095 1.834
Ba 23.935 4.772 2.828
```

=====

two:
A plane-wave DFT calculation with PBE was carried out for a geometry-optimized BaCa2Co structure.

Values from the calculation:
- DOS at the Fermi energy (states/eV per atom) = 1.425

Cell and atoms, written as extended XYZ:
```
4
Lattice="-1.420 -5.230 -1.087 -3.044 -2.849 3.629 -5.254 -1.249 -1.179" Properties=species:S:1:pos:R:3 pbc="T T T"
Ca -2.430 -2.332 0.341
Ca -7.289 -6.996 1.022
Co 0.000 0.000 0.000
Ba -4.859 -4.664 0.682
```

=====

three:
A plane-wave DFT calculation with PBE was carried out for a geometry-optimized BaCa2Co structure.

Values from the calculation:
- DOS at the Fermi energy (states/eV per atom) = 1.351

Cell and atoms, written as extended XYZ:
```
4
Lattice="-5.198 -2.247 2.358 -1.378 -4.963 -3.330 5.244 1.508 2.802" Properties=species:S:1:pos:R:3 pbc="T T T"
Ca 0.000 0.000 0.000
Ca 0.289 -3.530 -0.508
Co -3.288 -3.605 -0.486
Ba -1.621 -2.172 2.336
```

=====

Quick one: least stable of them? two

=====

one:
A plane-wave DFT calculation with PBE was carried out for a geometry-optimized BaCa2Co structure.

Values from the calculation:
- DOS at the Fermi energy (states/eV per atom) = 0.746

Cell and atoms, written as extended XYZ:
```
4
Lattice="4.098 0.000 0.000 0.000 6.720 0.254 0.000 3.707 5.606" Properties=species:S:1:pos:R:3 pbc="T T T"
Ca 0.000 1.005 0.565
Ca 0.000 4.209 2.366
Co 2.049 2.607 1.465
Ba 2.049 7.820 4.395
```

=====

two:
A plane-wave DFT calculation with PBE was carried out for a geometry-optimized BaCa2Co structure.

Values from the calculation:
- DOS at the Fermi energy (states/eV per atom) = 1.930

Cell and atoms, written as extended XYZ:
```
4
Lattice="-2.704 -2.486 0.162 1.751 -1.726 2.734 -4.852 5.716 6.717" Properties=species:S:1:pos:R:3 pbc="T T T"
Ca -0.433 0.511 0.600
Ca -1.992 2.347 2.758
Co -1.689 -0.677 3.127
Ba -4.115 2.181 6.486
```

=====

Quick one: least stable of them? two

=====

one:
A plane-wave DFT calculation with PBE was carried out for a geometry-optimized BaCa3Co structure.

Values from the calculation:
- DOS at the Fermi energy (states/eV per atom) = 0.966

Cell and atoms, written as extended XYZ:
```
5
Lattice="5.647 0.000 0.000 0.000 5.647 0.000 0.000 0.000 5.647" Properties=species:S:1:pos:R:3 pbc="T T T"
Ca 0.000 2.824 0.000
Ca 0.000 0.000 2.824
Ca 2.824 0.000 0.000
Co 0.000 0.000 0.000
Ba 2.824 2.824 2.824
```

=====

two:
A plane-wave DFT calculation with PBE was carried out for a geometry-optimized BaCa3Co structure.

Values from the calculation:
- DOS at the Fermi energy (states/eV per atom) = 1.457

Cell and atoms, written as extended XYZ:
```
5
Lattice="-1.495 -2.859 -4.860 -3.752 -3.249 3.066 -4.210 3.912 -1.006" Properties=species:S:1:pos:R:3 pbc="T T T"
Ca -1.876 -1.625 1.533
Ca -2.105 1.956 -0.503
Ca -0.748 -1.430 -2.430
Co -4.728 -1.098 -1.400
Ba 0.000 0.000 0.000
```

=====

Quick one: least stable of them? two

=====

one:
A plane-wave DFT calculation with PBE was carried out for a geometry-optimized Ba2CaCo structure.

Values from the calculation:
- DOS at the Fermi energy (states/eV per atom) = 2.237

Cell and atoms, written as extended XYZ:
```
4
Lattice="-2.951 4.352 2.530 -3.200 -1.031 4.768 1.724 2.073 5.174" Properties=species:S:1:pos:R:3 pbc="T T T"
Ca -2.213 2.697 6.236
Co -3.320 4.045 9.354
Ba 0.000 0.000 0.000
Ba -1.107 1.348 3.118
```

=====

two:
A plane-wave DFT calculation with PBE was carried out for a geometry-optimized Ba2CaCo structure.

Values from the calculation:
- DOS at the Fermi energy (states/eV per atom) = 1.898

Cell and atoms, written as extended XYZ:
```
4
Lattice="-0.770 2.397 5.006 -5.292 1.192 -1.385 -1.434 -4.256 1.817" Properties=species:S:1:pos:R:3 pbc="T T T"
Ca -1.102 -0.929 3.412
Co -3.363 -1.532 0.216
Ba 0.000 0.000 0.000
Ba -3.031 1.795 1.811
```

=====

Quick one: least stable of them? one

=====

one:
A plane-wave DFT calculation with PBE was carried out for a geometry-optimized Ba2CaCo structure.

Values from the calculation:
- DOS at the Fermi energy (states/eV per atom) = 1.706

Cell and atoms, written as extended XYZ:
```
4
Lattice="5.179 -0.651 2.640 0.385 -3.061 4.969 2.636 -5.222 0.022" Properties=species:S:1:pos:R:3 pbc="T T T"
Ca 0.000 0.000 0.000
Co 4.100 -4.467 3.816
Ba 2.050 -2.234 1.908
Ba 6.150 -6.701 5.723
```

=====

two:
A plane-wave DFT calculation with PBE was carried out for a geometry-optimized Ba2CaCo structure.

Values from the calculation:
- DOS at the Fermi energy (states/eV per atom) = 1.205

Cell and atoms, written as extended XYZ:
```
8
Lattice="-6.705 8.012 3.659 -7.648 -3.014 -7.414 -8.288 0.713 -0.004" Properties=species:S:1:pos:R:3 pbc="T T T"
Ca -7.176 2.499 -1.877
Ca -11.556 0.099 -4.648
Co 0.000 0.000 0.000
Co -11.085 5.612 0.889
Ba -8.204 5.986 1.897
Ba -13.410 6.131 -1.056
Ba -10.475 2.852 -0.322
Ba -12.251 7.479 3.036
```

=====

three:
A plane-wave DFT calculation with PBE was carried out for a geometry-optimized Ba2CaCo structure.

Values from the calculation:
- DOS at the Fermi energy (states/eV per atom) = 1.758

Cell and atoms, written as extended XYZ:
```
4
Lattice="-1.102 1.459 3.397 2.252 -2.546 1.824 7.902 6.750 -0.336" Properties=species:S:1:pos:R:3 pbc="T T T"
Ca 4.622 3.948 -0.197
Co 6.326 4.368 2.366
Ba 7.220 6.167 -0.307
Ba 2.738 1.304 2.519
```

=====

four:
A plane-wave DFT calculation with PBE was carried out for a geometry-optimized Ba2CaCo structure.

Values from the calculation:
- DOS at the Fermi energy (states/eV per atom) = 1.558

Cell and atoms, written as extended XYZ:
```
4
Lattice="6.755 0.270 0.000 2.542 6.264 0.000 -4.649 -3.267 3.664" Properties=species:S:1:pos:R:3 pbc="T T T"
Ca 4.649 3.267 0.000
Co 3.378 0.135 1.832
Ba 0.000 0.000 0.000
Ba 1.271 3.132 1.832
```

=====

Quick one: least stable of them? one

=====

one:
A plane-wave DFT calculation with PBE was carried out for a geometry-optimized Ba2CaCo structure.

Values from the calculation:
- DOS at the Fermi energy (states/eV per atom) = 1.371

Cell and atoms, written as extended XYZ:
```
4
Lattice="-7.780 2.631 -4.062 -9.009 1.503 -0.734 -0.675 4.698 1.343" Properties=species:S:1:pos:R:3 pbc="T T T"
Ca -13.098 6.624 -2.590
Co -4.366 2.208 -0.863
Ba -15.185 4.189 -4.185
Ba -10.336 4.360 -2.338
```

=====

two:
A plane-wave DFT calculation with PBE was carried out for a geometry-optimized Ba2CaCo structure.

Values from the calculation:
- DOS at the Fermi energy (states/eV per atom) = 1.683

Cell and atoms, written as extended XYZ:
```
4
Lattice="-4.817 -9.835 -2.001 -1.779 -10.964 0.756 -5.487 -9.438 2.182" Properties=species:S:1:pos:R:3 pbc="T T T"
Ca -3.021 -7.559 0.234
Co -9.062 -22.678 0.702
Ba -0.328 -0.821 0.025
Ba -5.713 -14.297 0.443
```

=====

Quick one: least stable of them? two

=====

one:
A plane-wave DFT calculation with PBE was carried out for a geometry-optimized Ba2CaCo structure.

Values from the calculation:
- DOS at the Fermi energy (states/eV per atom) = 1.848

Cell and atoms, written as extended XYZ:
```
4
Lattice="3.907 0.030 0.000 -0.028 3.907 0.000 0.000 0.000 10.237" Properties=species:S:1:pos:R:3 pbc="T T T"
Ca 1.940 1.968 2.559
Co 1.940 1.968 7.678
Ba 0.000 0.000 9.504
Ba 0.000 0.000 5.853
```

=====

two:
A plane-wave DFT calculation with PBE was carried out for a geometry-optimized Ba2CaCo structure.

Values from the calculation:
- DOS at the Fermi energy (states/eV per atom) = 0.750

Cell and atoms, written as extended XYZ:
```
4
Lattice="-1.275 2.863 -2.870 -5.661 1.634 4.145 -0.518 4.971 5.189" Properties=species:S:1:pos:R:3 pbc="T T T"
Ca -3.754 4.012 5.670
Co -5.254 6.367 5.540
Ba -5.589 5.974 8.443
Ba -2.125 3.021 0.812
```

=====

Quick one: least stable of them? one

=====

one:
A plane-wave DFT calculation with PBE was carried out for a geometry-optimized BaCaLa2Co structure.

Values from the calculation:
- DOS at the Fermi energy (states/eV per atom) = 1.163

Cell and atoms, written as extended XYZ:
```
5
Lattice="5.490 0.000 0.000 0.000 5.490 0.000 0.000 0.000 6.047" Properties=species:S:1:pos:R:3 pbc="T T T"
Ca 0.000 0.000 3.024
Co 0.000 0.000 0.000
Ba 2.745 2.745 3.024
La 0.000 2.745 0.000
La 2.745 0.000 0.000
```

=====

two:
A plane-wave DFT calculation with PBE was carried out for a geometry-optimized BaCaLa2Co structure.

Values from the calculation:
- DOS at the Fermi energy (states/eV per atom) = 1.020

Cell and atoms, written as extended XYZ:
```
5
Lattice="5.465 0.000 0.000 0.000 5.465 0.000 0.000 0.000 6.306" Properties=species:S:1:pos:R:3 pbc="T T T"
Ca 2.733 2.733 3.153
Co 0.000 0.000 0.000
Ba 0.000 0.000 3.153
La 0.000 2.733 0.000
La 2.733 0.000 0.000
```

=====

Quick one: least stable of them? two

=====

one:
A plane-wave DFT calculation with PBE was carried out for a geometry-optimized Ba2CaCoTe structure.

Values from the calculation:
- DOS at the Fermi energy (states/eV per atom) = 0.617

Cell and atoms, written as extended XYZ:
```
5
Lattice="-4.150 3.824 0.999 -0.941 0.360 -5.283 -3.823 -4.251 0.392" Properties=species:S:1:pos:R:3 pbc="T T T"
Ca -0.470 0.180 -2.641
Te -4.457 -0.034 -1.946
Co 0.000 0.000 0.000
Ba -1.912 -2.125 0.196
Ba -2.075 1.912 0.500
```

=====

two:
A plane-wave DFT calculation with PBE was carried out for a geometry-optimized Ba2CaCoTe structure.

Values from the calculation:
- DOS at the Fermi energy (states/eV per atom) = 1.041

Cell and atoms, written as extended XYZ:
```
5
Lattice="6.145 0.000 0.000 0.000 4.880 0.000 0.000 0.000 6.145" Properties=species:S:1:pos:R:3 pbc="T T T"
Ca 3.072 2.440 3.072
Te 0.000 2.440 0.000
Co 0.000 0.000 0.000
Ba 0.000 0.000 3.072
Ba 3.072 0.000 0.000
```

=====

Quick one: least stable of them? two

=====

one:
A plane-wave DFT calculation with PBE was carried out for a geometry-optimized BaCa2Cr structure.

Values from the calculation:
- DOS at the Fermi energy (states/eV per atom) = 1.045

Cell and atoms, written as extended XYZ:
```
4
Lattice="-4.340 -0.901 -5.365 3.030 -1.672 -6.038 -0.847 -1.993 6.614" Properties=species:S:1:pos:R:3 pbc="T T T"
Cr -0.671 -1.317 -5.838
Ca -1.303 -2.560 -11.345
Ca -2.868 -1.986 -1.765
Ba 0.720 -2.562 -2.945
```

=====

two:
A plane-wave DFT calculation with PBE was carried out for a geometry-optimized BaCa2Cr structure.

Values from the calculation:
- DOS at the Fermi energy (states/eV per atom) = 1.298

Cell and atoms, written as extended XYZ:
```
4
Lattice="5.167 0.000 0.000 0.000 5.167 0.000 0.000 0.000 5.771" Properties=species:S:1:pos:R:3 pbc="T T T"
Cr 2.583 0.000 2.886
Ca 0.000 0.000 0.000
Ca 2.583 2.583 0.000
Ba 0.000 2.583 2.886
```

=====

Quick one: least stable of them? two